Entry from the Alexandria database: a geometry-optimized Th5Co2Ni5 structure (PBE).

Geometry as extended XYZ:
```
12
Lattice="3.687 0.000 0.832 1.819 7.537 0.522 0.020 -0.363 8.499" Properties=species:S:1:pos:R:3 pbc="T T T"
Th 0.920 3.587 4.511
Th 3.851 4.946 8.693
Th 3.081 6.789 3.519
Th 2.446 0.385 6.334
Th 1.676 2.228 1.160
Co 2.310 3.424 6.936
Co 3.217 3.750 2.917
Ni 3.036 1.361 3.718
Ni 4.000 1.913 8.034
Ni 1.527 5.261 1.819
Ni 2.491 5.813 6.135
Ni 0.000 0.000 0.000
```

Computed properties:
The calculation puts the energy at -7.048 eV per atom. The value obtained for the total moment is 0.00 μB per atom. Its mass density is 11.05 g cm⁻³. The space group is No. 12.

***

Entry from the Alexandria database: a geometry-optimized ThCo2Ni structure (PBE).

Geometry as extended XYZ:
```
4
Lattice="4.149 0.000 0.000 2.075 3.593 0.000 2.075 1.198 4.414" Properties=species:S:1:pos:R:3 pbc="T T T"
Ni 4.149 2.396 2.207
Co 6.224 3.593 2.504
Co 2.075 1.198 1.910
Th 0.000 0.000 0.000
```

Computed properties:
The calculation puts the energy at -7.055 eV per atom. The value obtained for the total moment is 0.00 μB per atom. Its mass density is 10.31 g cm⁻³. The space group is No. 166.

***

Entry from the Alexandria database: a geometry-optimized Th2CoNi3 structure (PBE).

Geometry as extended XYZ:
```
6
Lattice="3.728 0.000 1.561 1.817 5.227 0.893 -0.146 -0.534 5.580" Properties=species:S:1:pos:R:3 pbc="T T T"
Th 2.209 0.902 5.190
Th 3.192 3.789 2.843
Co 1.179 1.563 2.416
Ni 4.233 3.103 5.589
Ni 3.379 0.800 2.397
Ni 2.009 3.922 5.667
```

Computed properties:
The calculation puts the energy at -6.912 eV per atom. The value obtained for the total moment is 0.15 μB per atom. Its mass density is 10.53 g cm⁻³. The space group is No. 44.

***

Entry from the Alexandria database: a geometry-optimized Th2Co2Ni15 structure (PBE).

Geometry as extended XYZ:
```
19
Lattice="-2.892 0.717 5.555 2.814 -4.788 2.981 4.522 3.369 2.818" Properties=species:S:1:pos:R:3 pbc="T T T"
Th 1.510 -0.239 3.859
Th 2.934 -0.464 7.495
Co 0.412 -0.065 1.053
Co 4.032 -0.637 10.301
Ni -1.446 0.358 2.778
Ni 2.261 1.685 1.409
Ni 1.407 -2.394 1.491
Ni 3.316 -2.389 2.933
Ni -1.213 -0.903 4.798
Ni 2.341 2.589 3.623
Ni 1.136 -3.169 3.739
Ni -0.711 1.497 4.750
Ni 4.019 0.970 2.866
Ni 4.377 -0.823 4.660
Ni 0.641 -2.159 6.040
Ni 1.502 1.951 5.957
Ni 0.067 0.120 6.694
Ni 3.803 1.457 5.314
Ni 2.942 -2.654 5.397
```

Computed properties:
The calculation puts the energy at -6.320 eV per atom. The value obtained for the total moment is 0.42 μB per atom. Its mass density is 9.91 g cm⁻³. The space group is No. 166.

***

Question: The lowest energy belongs to which entry?
Answer: ThCo2Ni

***

Please write out number 2 again, unchanged.
Entry from the Alexandria database: a geometry-optimized ThCo2Ni structure (PBE).

Geometry as extended XYZ:
```
4
Lattice="4.149 0.000 0.000 2.075 3.593 0.000 2.075 1.198 4.414" Properties=species:S:1:pos:R:3 pbc="T T T"
Ni 4.149 2.396 2.207
Co 6.224 3.593 2.504
Co 2.075 1.198 1.910
Th 0.000 0.000 0.000
```

Computed properties:
The calculation puts the energy at -7.055 eV per atom. The value obtained for the total moment is 0.00 μB per atom. Its mass density is 10.31 g cm⁻³. The space group is No. 166.

***

Question: The highest mass density belongs to which entry?
Answer: Th5Co2Ni5